Compound: CrAgBO4
Source: the Alexandria database
Functional: PBE with a Hubbard U
Structure: relaxed

```
CrAgBO4
1.0
2.601 -4.136 0.000
2.601 4.136 0.000
0.000 0.000 6.368
Cr Ag B O
2 2 2 8
direct
0.000 0.000 0.000
0.000 0.000 0.500
0.305 0.695 0.750
0.695 0.305 0.250
0.340 0.660 0.250
0.660 0.340 0.750
0.212 0.306 0.250
0.236 0.764 0.070
0.236 0.764 0.430
0.306 0.212 0.750
0.694 0.788 0.250
0.764 0.236 0.570
0.764 0.236 0.930
0.788 0.694 0.750
```

Properties
- Uncorrected energy: -6.70 eV/atom